Entry 1:
A plane-wave DFT calculation with PBE was carried out for a geometry-optimized CoHgBPd2 structure.

abc: 4.779 4.779 3.665
angles: 90.00 90.00 90.00
Space group P4/mmm (No. 123)
Unique sites:
Co (0.000, 0.000, 0.000) [1 per cell]
Hg (0.500, 0.500, 0.500) [1 per cell]
B (0.000, 0.000, 0.500) [1 per cell]
Pd (0.000, 0.500, 0.000) [2 per cell]

---

Entry 2:
A plane-wave DFT calculation with PBE was carried out for a geometry-optimized TbCe2Ho3As6 structure.

abc: 18.045 4.149 8.287
angles: 90.00 103.17 90.00
Space group C2/m (No. 12)
Unique sites:
Tb (0.000, 0.000, 0.000) [2 per cell]
Ce (0.166, 0.500, 0.332) [4 per cell]
Ho (0.000, 0.000, 0.500) [2 per cell]
Ho (0.166, 0.500, 0.834) [4 per cell]
As (0.001, 0.500, 0.749) [4 per cell]
As (0.166, 0.000, 0.586) [4 per cell]
As (0.167, 0.000, 0.080) [4 per cell]

---

Entry 3:
A plane-wave DFT calculation with PBE was carried out for a geometry-optimized RbOsPd2 structure.

abc: 6.807 6.807 6.807
angles: 90.00 90.00 90.00
Space group Fm-3m (No. 225)
Unique sites:
Rb (0.000, 0.000, 0.000) [4 per cell]
Os (0.000, 0.000, 0.500) [4 per cell]
Pd (0.250, 0.250, 0.250) [8 per cell]

Polymorph energy (0 for the lowest one): 291.8 meV per atom

---

Entry 4:
A plane-wave DFT calculation with PBE was carried out for a geometry-optimized SrIrPt structure.

abc: 5.403 5.570 7.907
angles: 90.00 90.00 90.00
Space group Imma (No. 74)
Unique sites:
Sr (0.000, 0.250, 0.123) [4 per cell]
Ir (0.250, 0.250, 0.750) [4 per cell]
Pt (0.000, 0.000, 0.500) [4 per cell]

Polymorph energy (0 for the lowest one): 0.0 meV per atom

---

no.,density (g/cm3),ΔE_f (meV/atom)
1,9.59,754
2,7.61,-1497
3,10.29,1248
4,13.26,-566